# PBE-GGA CeSmZn2In2, relaxed
data_CeSmZn2In2
_cell_length_a 4.7445
_cell_length_b 4.7445
_cell_length_c 7.4251
_cell_angle_alpha 90.00
_cell_angle_beta 90.00
_cell_angle_gamma 120.00
_space_group_name_H-M_alt 'P -3 m 1'
_space_group_IT_number 164
_space_group_name_Hall '-P 3 2"'
loop_
_atom_site_label
_atom_site_fract_x
_atom_site_fract_y
_atom_site_fract_z
Ce1 0.0000 0.0000 0.0000
Sm1 0.0000 0.0000 0.5000
Zn1 0.3333 0.6667 0.2426
In1 0.3333 0.6667 0.7555
# Total moment ... 0.940 μB/cell
# E_form ... -0.384 eV per atom